(1)
Compound: In2SnGe
Source: Alexandria
Functional: PBE-GGA
Structure: relaxed

Properties
energy of formation from the pure elements = 236 meV/atom
final energy = -3.2883 eV per atom
crystal system = tetragonal

```
data_In2SnGe
_chemical_formula_sum 'In8 Sn4 Ge4'
_cell_length_a 6.5432
_cell_length_b 6.5432
_cell_length_c 12.4374
_cell_angle_alpha 90.00
_cell_angle_beta 90.00
_cell_angle_gamma 90.00
_space_group_name_H-M_alt 'I -4 2 d'
_space_group_IT_number 122
_space_group_name_Hall 'I -4 2bw'
loop_
_atom_site_label
_atom_site_type_symbol
_atom_site_fract_x
_atom_site_fract_y
_atom_site_fract_z
In1 In 0.2203 0.2500 0.1250
Sn1 Sn 0.0000 0.0000 0.5000
Ge1 Ge 0.0000 0.0000 0.0000
```

***

(2)
Compound: Hf2TaH8
Source: Alexandria
Functional: PBE-GGA
Structure: relaxed

Properties
polymorph energy (0 for the lowest one) = 0.0184 eV/atom
final energy = -5.5562 eV per atom
crystal system = monoclinic

```
data_Hf2TaH8
_chemical_formula_sum 'Hf4 Ta2 H16'
_cell_length_a 12.1832
_cell_length_b 3.1228
_cell_length_c 4.6903
_cell_angle_alpha 90.00
_cell_angle_beta 111.32
_cell_angle_gamma 90.00
_space_group_name_H-M_alt 'C 1 2/m 1'
_space_group_IT_number 12
_space_group_name_Hall '-C 2y'
loop_
_atom_site_label
_atom_site_type_symbol
_atom_site_fract_x
_atom_site_fract_y
_atom_site_fract_z
Hf1 Hf 0.1692 0.0000 0.1626
Ta1 Ta 0.0000 0.5000 0.5000
H1 H 0.0255 0.0000 0.2873
H2 H 0.0807 0.5000 0.9312
H3 H 0.1646 0.5000 0.4571
H4 H 0.2293 0.0000 0.8245
```